Ce3Pm2ErBi6: optimized geometry, PBE.

Summary:
Formation enthalpy at 0 K (meV per atom): -845

Cell and atoms, written as CIF:
```
data_Ce3Pm2ErBi6
_cell_length_a 7.915
_cell_length_b 7.915
_cell_length_c 7.915
_cell_angle_alpha 99.61
_cell_angle_beta 99.61
_cell_angle_gamma 120.01
_space_group_name_H-M_alt 'P 1'
_space_group_IT_number 1
loop_
_space_group_symop_operation_xyz
'x,y,z'
loop_
_atom_site_label
_atom_site_fract_x
_atom_site_fract_y
_atom_site_fract_z
Bi1 0.590 0.918 0.754
Bi2 0.918 0.590 0.754
Bi3 0.755 0.755 0.249
Bi4 0.082 0.410 0.246
Bi5 0.410 0.082 0.246
Bi6 0.245 0.245 0.751
Pm1 0.666 0.334 0.000
Pm2 0.334 0.666 0.000
Ce1 0.500 0.500 0.500
Ce2 0.831 0.169 0.500
Ce3 0.169 0.831 0.500
Er1 0.000 0.000 0.000
```


ErTm6Cd5: optimized geometry, PBE.

Summary:
Formation enthalpy at 0 K (meV per atom): -205

Cell and atoms, written as CIF:
```
data_ErTm6Cd5
_cell_length_a 5.188
_cell_length_b 7.671
_cell_length_c 9.149
_cell_angle_alpha 114.79
_cell_angle_beta 106.47
_cell_angle_gamma 90.00
_space_group_name_H-M_alt 'P 1'
_space_group_IT_number 1
loop_
_space_group_symop_operation_xyz
'x,y,z'
loop_
_atom_site_label
_atom_site_fract_x
_atom_site_fract_y
_atom_site_fract_z
Tm1 0.171 0.915 0.341
Tm2 0.171 0.426 0.341
Tm3 0.500 0.732 0.000
Tm4 0.500 0.268 0.000
Tm5 0.829 0.574 0.659
Tm6 0.829 0.085 0.659
Cd1 0.331 0.331 0.662
Cd2 0.669 0.669 0.338
Cd3 0.347 0.847 0.694
Cd4 0.000 0.500 0.000
Cd5 0.653 0.153 0.306
Er1 0.000 0.000 0.000
```


CaCo2Br: optimized geometry, PBE.

Summary:
Raw formation energy (eV/atom): 0.1560
Energy relative to the lowest polymorph listed for this composition (eV/f.u.): 1.315

Cell and atoms, written as CIF:
```
data_CaCo2Br
_cell_length_a 4.439
_cell_length_b 3.571
_cell_length_c 4.967
_cell_angle_alpha 89.97
_cell_angle_beta 90.00
_cell_angle_gamma 90.00
_space_group_name_H-M_alt 'P 1'
_space_group_IT_number 1
loop_
_space_group_symop_operation_xyz
'x,y,z'
loop_
_atom_site_label
_atom_site_fract_x
_atom_site_fract_y
_atom_site_fract_z
Co1 0.000 0.250 0.528
Co2 0.000 0.250 0.972
Ca1 0.500 0.750 0.750
Br1 0.500 0.250 0.250
```


SrTcHN2: optimized geometry, PBE.

Cell and atoms, written as CIF:
```
data_SrTcHN2
_cell_length_a 3.963
_cell_length_b 3.963
_cell_length_c 3.813
_cell_angle_alpha 90.00
_cell_angle_beta 90.00
_cell_angle_gamma 90.00
_space_group_name_H-M_alt 'P 1'
_space_group_IT_number 1
loop_
_space_group_symop_operation_xyz
'x,y,z'
loop_
_atom_site_label
_atom_site_fract_x
_atom_site_fract_y
_atom_site_fract_z
Tc1 0.000 0.000 0.000
N1 0.000 0.500 0.000
N2 0.500 0.000 0.000
H1 0.000 0.000 0.500
Sr1 0.500 0.500 0.500
```


Sc2CrCu: optimized geometry, PBE.

Summary:
Formation enthalpy at 0 K (meV per atom): 77
Energy relative to the lowest polymorph listed for this composition (eV/f.u.): 0.251

Cell and atoms, written as CIF:
```
data_Sc2CrCu
_cell_length_a 5.625
_cell_length_b 5.625
_cell_length_c 5.625
_cell_angle_alpha 146.48
_cell_angle_beta 132.41
_cell_angle_gamma 59.46
_space_group_name_H-M_alt 'P 1'
_space_group_IT_number 1
loop_
_space_group_symop_operation_xyz
'x,y,z'
loop_
_atom_site_label
_atom_site_fract_x
_atom_site_fract_y
_atom_site_fract_z
Cr1 0.471 0.471 0.000
Sc1 0.740 0.240 0.500
Sc2 0.022 0.022 0.000
Cu1 0.267 0.767 0.500
```


TbY3Ir: optimized geometry, PBE.

Summary:
Formation enthalpy at 0 K (meV per atom): -250
Energy relative to the lowest polymorph listed for this composition (eV/f.u.): 0.408

Cell and atoms, written as CIF:
```
data_TbY3Ir
_cell_length_a 5.442
_cell_length_b 5.442
_cell_length_c 5.442
_cell_angle_alpha 90.00
_cell_angle_beta 90.00
_cell_angle_gamma 90.00
_space_group_name_H-M_alt 'P 1'
_space_group_IT_number 1
loop_
_space_group_symop_operation_xyz
'x,y,z'
loop_
_atom_site_label
_atom_site_fract_x
_atom_site_fract_y
_atom_site_fract_z
Y1 0.000 0.500 0.000
Y2 0.000 0.000 0.500
Y3 0.500 0.000 0.000
Tb1 0.500 0.500 0.500
Ir1 0.000 0.000 0.000
```


CrRuPt2: optimized geometry, PBE.

Summary:
Formation enthalpy at 0 K (meV per atom): -92

Cell and atoms, written as CIF:
```
data_CrRuPt2
_cell_length_a 4.729
_cell_length_b 4.729
_cell_length_c 2.774
_cell_angle_alpha 90.00
_cell_angle_beta 90.00
_cell_angle_gamma 109.98
_space_group_name_H-M_alt 'P 1'
_space_group_IT_number 1
loop_
_space_group_symop_operation_xyz
'x,y,z'
loop_
_atom_site_label
_atom_site_fract_x
_atom_site_fract_y
_atom_site_fract_z
Pt1 0.000 0.000 0.000
Pt2 0.500 0.500 0.000
Ru1 0.500 0.000 0.500
Cr1 0.000 0.500 0.500
```


PmHoNi2P2: optimized geometry, PBE.

Summary:
Formation enthalpy at 0 K (meV per atom): -1201

Cell and atoms, written as CIF:
```
data_PmHoNi2P2
_cell_length_a 3.911
_cell_length_b 3.911
_cell_length_c 7.882
_cell_angle_alpha 90.00
_cell_angle_beta 90.00
_cell_angle_gamma 120.00
_space_group_name_H-M_alt 'P 1'
_space_group_IT_number 1
loop_
_space_group_symop_operation_xyz
'x,y,z'
loop_
_atom_site_label
_atom_site_fract_x
_atom_site_fract_y
_atom_site_fract_z
Ni1 0.667 0.333 0.257
Ni2 0.333 0.667 0.743
P1 0.667 0.333 0.741
P2 0.333 0.667 0.259
Ho1 0.000 0.000 0.500
Pm1 0.000 0.000 0.000
```


Pr4ErBi5: optimized geometry, PBE.

Summary:
Formation enthalpy at 0 K (meV per atom): -922

Cell and atoms, written as CIF:
```
data_Pr4ErBi5
_cell_length_a 4.609
_cell_length_b 4.609
_cell_length_c 16.584
_cell_angle_alpha 97.99
_cell_angle_beta 97.99
_cell_angle_gamma 90.00
_space_group_name_H-M_alt 'P 1'
_space_group_IT_number 1
loop_
_space_group_symop_operation_xyz
'x,y,z'
loop_
_atom_site_label
_atom_site_fract_x
_atom_site_fract_y
_atom_site_fract_z
Bi1 0.300 0.300 0.600
Bi2 0.500 0.500 0.000
Bi3 0.097 0.097 0.195
Bi4 0.903 0.903 0.805
Bi5 0.700 0.700 0.400
Pr1 0.199 0.199 0.398
Pr2 0.599 0.599 0.199
Pr3 0.401 0.401 0.801
Pr4 0.801 0.801 0.602
Er1 0.000 0.000 0.000
```


Ca3HoH8: optimized geometry, PBE.

Cell and atoms, written as CIF:
```
data_Ca3HoH8
_cell_length_a 5.318
_cell_length_b 5.318
_cell_length_c 5.318
_cell_angle_alpha 90.00
_cell_angle_beta 90.00
_cell_angle_gamma 90.00
_space_group_name_H-M_alt 'P 1'
_space_group_IT_number 1
loop_
_space_group_symop_operation_xyz
'x,y,z'
loop_
_atom_site_label
_atom_site_fract_x
_atom_site_fract_y
_atom_site_fract_z
Ca1 0.500 0.500 0.000
Ca2 0.500 0.000 0.500
Ca3 0.000 0.500 0.500
H1 0.243 0.757 0.757
H2 0.243 0.757 0.243
H3 0.243 0.243 0.243
H4 0.757 0.243 0.757
H5 0.757 0.757 0.243
H6 0.243 0.243 0.757
H7 0.757 0.757 0.757
H8 0.757 0.243 0.243
Ho1 0.000 0.000 0.000
```


LiH4Pd2: optimized geometry, PBE.

Summary:
Energy relative to the lowest polymorph listed for this composition (eV/f.u.): 0.000

Cell and atoms, written as CIF:
```
data_LiH4Pd2
_cell_length_a 2.875
_cell_length_b 5.010
_cell_length_c 8.434
_cell_angle_alpha 90.00
_cell_angle_beta 90.00
_cell_angle_gamma 106.67
_space_group_name_H-M_alt 'P 1'
_space_group_IT_number 1
loop_
_space_group_symop_operation_xyz
'x,y,z'
loop_
_atom_site_label
_atom_site_fract_x
_atom_site_fract_y
_atom_site_fract_z
H1 0.959 0.918 0.750
H2 0.041 0.082 0.250
H3 0.500 0.000 0.000
H4 0.243 0.487 0.604
H5 0.757 0.513 0.396
H6 0.243 0.487 0.896
H7 0.500 0.000 0.500
H8 0.757 0.513 0.104
Pd1 0.867 0.734 0.931
Pd2 0.867 0.734 0.569
Pd3 0.133 0.266 0.069
Pd4 0.133 0.266 0.431
Li1 0.406 0.812 0.250
Li2 0.594 0.188 0.750
```


CaDyIr: optimized geometry, PBE.

Summary:
Formation enthalpy at 0 K (meV per atom): -483
Energy relative to the lowest polymorph listed for this composition (eV/f.u.): 0.223

Cell and atoms, written as CIF:
```
data_CaDyIr
_cell_length_a 3.448
_cell_length_b 3.448
_cell_length_c 7.027
_cell_angle_alpha 104.20
_cell_angle_beta 104.20
_cell_angle_gamma 90.00
_space_group_name_H-M_alt 'P 1'
_space_group_IT_number 1
loop_
_space_group_symop_operation_xyz
'x,y,z'
loop_
_atom_site_label
_atom_site_fract_x
_atom_site_fract_y
_atom_site_fract_z
Dy1 0.289 0.289 0.577
Ir1 0.676 0.676 0.352
Ca1 0.035 0.035 0.070
```


no.,electronic total energy (eV per atom)
1,-5.44
2,-3.20
3,-4.32
4,-6.83
5,-6.52
6,-6.83
7,-7.84
8,-6.49
9,-5.23
10,-3.70
11,-3.89
12,-5.64